1.
# ZnNi2Br

ZnNi2Br after structural relaxation (PBE, the Alexandria database).

abc: 3.2143 3.2143 6.4356
angles: 90.00 90.00 90.00
Last column: nearest neighbours and their distance in Å.
Fractional coordinates of all 4 atoms:
1 Zn 0.0000 0.0000 0.0000  5 Ni 2.42-2.52
2 Ni 0.0000 0.0000 0.6244  1 Zn 2.42, 4 Br 2.55, 4 Ni 2.63
3 Ni 0.5000 0.5000 0.8310  1 Br 2.48, 4 Zn 2.52, 4 Ni 2.63
4 Br 0.5000 0.5000 0.4455  5 Ni 2.48-2.55

Summary:
DOS at the Fermi energy = 2.7 states/eV/cell
Raw formation energy = 0.197 eV per atom
Symmetry = P4mm
Polymorph energy (0 for the lowest one) = 92 meV per atom
Mass density = 6.6 Mg/m³



2.
# Zr3TaPt

Zr3TaPt after structural relaxation (PBE, the Alexandria database).

abc: 5.0307 5.0307 5.0307
angles: 90.00 90.00 90.00
Last column: nearest neighbours and their distance in Å.
Fractional coordinates of all 5 atoms:
1 Zr 0.0000 0.0000 0.5000  2 Ta 2.52
2 Zr 0.0000 0.5000 0.0000  2 Ta 2.52
3 Zr 0.5000 0.0000 0.0000  2 Ta 2.52
4 Ta 0.0000 0.0000 0.0000  6 Zr 2.52
5 Pt 0.5000 0.5000 0.5000  12 Zr 3.56

Summary:
DOS at the Fermi energy = 8.7 states/eV/cell
Symmetry = Pm-3m
Polymorph energy (0 for the lowest one) = 348 meV per atom
Mass density = 8.5 Mg/m³
E_form = 0.976 eV per atom



3.
# UClO2

UClO2 after structural relaxation (PBE, the Alexandria database).

abc: 9.0384 9.0384 5.3550
angles: 102.52 102.52 22.17
Last column: nearest neighbours and their distance in Å.
Fractional coordinates of all 8 atoms:
1 U 0.1567 0.1567 0.3482  4 O 2.09-2.20
2 U 0.8433 0.8433 0.6518  4 O 2.09-2.20
3 Cl 0.1109 0.1109 0.8443  2 U 2.64-2.94
4 Cl 0.8891 0.8891 0.1557  2 U 2.64-2.94
5 O 0.2704 0.2704 0.6839  3 U 2.20-2.39
6 O 0.4083 0.4083 0.6493  2 U 2.09
7 O 0.5917 0.5917 0.3507  2 U 2.09
8 O 0.7296 0.7296 0.3161  3 U 2.20-2.39

Summary:
DOS at the Fermi energy = 5.9 states/eV/cell
Raw formation energy = -2.642 eV per atom
Symmetry = C2/m
Polymorph energy (0 for the lowest one) = 0 meV per atom
Mass density = 6.3 Mg/m³



What is the formula in the second record?
Zr3TaPt